Record 1
An optimized crystal structure of KSiCl2. Source: Alexandria, functional PBE-GGA.

The structure in POSCAR format:
```
KSiCl2
1.0
5.869 0.000 0.000
0.000 5.869 0.000
2.934 2.934 8.041
Si K Cl
2 2 4
Cartesian
2.934 5.869 4.020
2.934 2.934 0.000
0.000 0.000 0.000
5.869 2.934 4.020
3.975 1.467 2.010
4.402 4.828 6.030
7.336 6.910 6.030
1.893 4.402 2.010
```

Values from the calculation:
DFT total energy (eV per cell): -25.00
Magnetic moment (μB per atom): 0.25
Space group: I-42d (122)



Record 2
An optimized crystal structure of KSiCl2. Source: Alexandria, functional PBE-GGA.

The structure in POSCAR format:
```
KSiCl2
1.0
-1.899 -4.598 -1.805
2.964 2.795 -3.377
5.040 -2.881 2.039
Cl K Si
2 1 1
Cartesian
4.612 -2.637 1.866
1.846 -1.652 -2.060
2.154 -1.232 0.872
5.052 -3.485 -0.763
```

Values from the calculation:
DFT total energy (eV per cell): -12.89
Magnetic moment (μB per atom): 0.25
Space group: Cmm2 (35)



Record 3
An optimized crystal structure of KSiCl2. Source: Alexandria, functional PBE-GGA.

The structure in POSCAR format:
```
KSiCl2
1.0
-1.285 5.057 3.457
-0.812 0.647 6.173
3.674 0.657 0.426
K Cl Si
1 2 1
Cartesian
0.793 3.157 4.989
1.650 6.153 9.706
-0.571 1.563 2.639
-1.604 4.372 7.381
```

Values from the calculation:
DFT total energy (eV per cell): -13.43
Magnetic moment (μB per atom): 0.00
Space group: Cm (8)



Record 4
An optimized crystal structure of KSiCl2. Source: Alexandria, functional PBE-GGA.

The structure in POSCAR format:
```
KSiCl2
1.0
5.329 0.000 0.000
0.000 5.329 0.000
0.000 0.000 3.336
Si K Cl
1 1 2
Cartesian
0.000 2.665 1.668
2.665 0.000 1.668
0.000 0.000 0.000
2.665 2.665 0.000
```

Values from the calculation:
DFT total energy (eV per cell): -12.36
Magnetic moment (μB per atom): 0.00
Space group: P4/mmm (123)



Record 5
An optimized crystal structure of KSiCl. Source: Alexandria, functional PBE-GGA.

The structure in POSCAR format:
```
KSiCl
1.0
-4.392 5.808 0.597
-4.069 4.688 3.852
2.172 2.602 0.680
Si K Cl
1 1 1
Cartesian
-4.751 7.741 3.133
-1.674 5.457 2.043
-8.324 10.394 4.400
```

Values from the calculation:
DFT total energy (eV per cell): -8.40
Magnetic moment (μB per atom): 0.00
Space group: I4mm (107)



Record 6
An optimized crystal structure of KSiCl2. Source: Alexandria, functional PBE-GGA.

The structure in POSCAR format:
```
KSiCl2
1.0
-4.439 4.505 -5.196
2.959 -5.522 -0.228
-1.984 -2.769 0.573
Cl K Si
2 1 1
Cartesian
0.000 0.000 0.000
-3.211 0.868 -2.311
0.488 -4.145 0.173
-0.740 -0.508 -2.712
```

Values from the calculation:
DFT total energy (eV per cell): -12.65
Magnetic moment (μB per atom): 0.00
Space group: C2/m (12)



Across the entries above, V takes the values 34.617 38.639 27.806 23.684 27.422 27.685 Å³ per atom, respectively.